1.
## ZrIn2 (PBE)

Data for ZrIn2 after structural relaxation.

a = 3.2626 Å, b = 3.2626 Å, c = 7.7462 Å
α = 90.00°, β = 90.00°, γ = 120.00°
Positions (direct):
1 Zr 0.0000 0.0000 0.0000
2 In 0.3333 0.6667 0.3289
3 In 0.6667 0.3333 0.6711

**DFT formation energy**: -0.056 eV per atom

***

2.
## Pr5Dy2Tm4 (PBE)

Data for Pr5Dy2Tm4 after structural relaxation.

a = 9.0269 Å, b = 9.0269 Å, c = 11.6459 Å
α = 93.87°, β = 93.87°, γ = 22.71°
Positions (direct):
1 Pr 0.0000 0.0000 0.0000
2 Pr 0.3235 0.3235 0.9291
3 Pr 0.4029 0.4029 0.4650
4 Pr 0.5971 0.5971 0.5350
5 Pr 0.6765 0.6765 0.0709
6 Dy 0.2162 0.2162 0.3510
7 Dy 0.7838 0.7838 0.6490
8 Tm 0.1401 0.1401 0.7951
9 Tm 0.4654 0.4654 0.7399
10 Tm 0.5346 0.5346 0.2601
11 Tm 0.8599 0.8599 0.2049

**Energy above the lowest structure with this stoichiometry**: 0.0 meV per atom
**DFT formation energy**: 0.078 eV per atom

***

3.
## CeGdPu4 (PBE)

Data for CeGdPu4 after structural relaxation.

a = 6.1688 Å, b = 6.1688 Å, c = 6.1688 Å
α = 60.00°, β = 60.00°, γ = 60.00°
Positions (direct):
1 Ce 0.0000 0.0000 0.0000
2 Gd 0.2500 0.2500 0.2500
3 Pu 0.1228 0.6257 0.6257
4 Pu 0.6257 0.1228 0.6257
5 Pu 0.6257 0.6257 0.1228
6 Pu 0.6257 0.6257 0.6257

**DFT formation energy**: 0.255 eV per atom

***

4.
## Sr3Ga4Pd2 (PBE)

Data for Sr3Ga4Pd2 after structural relaxation.

a = 6.1347 Å, b = 6.1347 Å, c = 8.9787 Å
α = 107.66°, β = 107.66°, γ = 43.37°
Positions (direct):
1 Sr 0.0000 0.0000 0.0000
2 Sr 0.3829 0.3829 0.6272
3 Sr 0.6171 0.6171 0.3728
4 Ga 0.0944 0.0944 0.6410
5 Ga 0.2832 0.2832 0.9276
6 Ga 0.7168 0.7168 0.0724
7 Ga 0.9056 0.9056 0.3590
8 Pd 0.3112 0.3112 0.2304
9 Pd 0.6888 0.6888 0.7696

**Energy above the lowest structure with this stoichiometry**: 20.6 meV per atom
**DFT formation energy**: -0.574 eV per atom

***

5.
## Cu2AuBr (PBE)

Data for Cu2AuBr after structural relaxation.

a = 4.5839 Å, b = 4.5839 Å, c = 4.5839 Å
α = 60.00°, β = 60.00°, γ = 60.00°
Positions (direct):
1 Cu 0.2500 0.2500 0.2500
2 Cu 0.7500 0.7500 0.7500
3 Au 0.0000 0.0000 0.0000
4 Br 0.5000 0.5000 0.5000

**Energy above the lowest structure with this stoichiometry**: 341.9 meV per atom
**Formation energy from raw total energies**: 366 meV per atom

***

6.
## MnGaTc (PBE)

Data for MnGaTc after structural relaxation.

a = 4.3657 Å, b = 4.3657 Å, c = 5.0625 Å
α = 90.00°, β = 90.00°, γ = 119.44°
Positions (direct):
1 Mn 0.0000 0.0000 0.0000
2 Mn 0.0000 0.0000 0.5000
3 Ga 0.3203 0.6797 0.7500
4 Ga 0.6797 0.3203 0.2500
5 Tc 0.3484 0.6516 0.2500
6 Tc 0.6516 0.3484 0.7500

**Energy above the lowest structure with this stoichiometry**: 167.1 meV per atom
**DFT formation energy**: 0.042 eV per atom

***

7.
## NpGeN (PBE)

Data for NpGeN after structural relaxation.

a = 3.8933 Å, b = 3.8933 Å, c = 7.2626 Å
α = 90.00°, β = 90.00°, γ = 90.00°
Positions (direct):
1 Np 0.2500 0.2500 0.1504
2 Np 0.7500 0.7500 0.8496
3 Ge 0.2500 0.7500 0.5000
4 Ge 0.7500 0.2500 0.5000
5 N 0.2500 0.7500 0.0000
6 N 0.7500 0.2500 0.0000

**Energy above the lowest structure with this stoichiometry**: 38.3 meV per atom
**Formation energy from raw total energies**: -723 meV per atom

***

8.
## RbTl2Hg7Au2 (PBE)

Data for RbTl2Hg7Au2 after structural relaxation.

a = 5.4926 Å, b = 5.4926 Å, c = 12.7437 Å
α = 90.08°, β = 90.08°, γ = 77.92°
Positions (direct):
1 Rb 0.0000 0.0000 0.0000
2 Tl 0.1214 0.1214 0.3972
3 Tl 0.8786 0.8786 0.6028
4 Hg 0.1451 0.6102 0.2458
5 Hg 0.3665 0.3665 0.5760
6 Hg 0.3898 0.8549 0.7542
7 Hg 0.5000 0.5000 0.0000
8 Hg 0.6102 0.1451 0.2458
9 Hg 0.6335 0.6335 0.4240
10 Hg 0.8549 0.3898 0.7542
11 Au 0.3558 0.3558 0.8078
12 Au 0.6442 0.6442 0.1922

**DFT formation energy**: -0.052 eV per atom

***

Let's list M_tot in order: 0.0000; 0.0000; 5.0980; 0.0000; 0.0000; 0.8317; 0.9896; 0.0000 μB per atom.
Let's list DOS at the Fermi energy in order: 0.98; 1.36; 4.61; 0.64; 0.01; 1.00; 2.23; 0.25 states/eV/atom.